The following is a GGA-PBE calculation of a relaxed ZnCrPd2 crystal, from Alexandria via LeMat-Bulk.

volume	14.9	A^3/atom
mass density	9.2	Mg/m³
total magnetization	0.820	μB per atom
formation energy from the elements	-68	meV/atom
symmetry	R-3m
electronic total energy	-0.396	Ry/atom

Cell lengths 2.8579, 2.8579, 8.5734 Å; angles 80.41, 80.41, 60.00 degrees
Atoms (fractional coordinates):
1 Pd 0.2498 0.2498 0.2505
2 Pd 0.7502 0.7502 0.7495
3 Cr 0.5000 0.5000 0.5000
4 Zn 0.0000 0.0000 0.0000

---

The following is a GGA-PBE calculation of a relaxed Zn5CrPd6 crystal, from Alexandria via LeMat-Bulk.

volume	14.6	A^3/atom
mass density	9.7	Mg/m³
total magnetization	0.326	μB per atom
formation energy from the elements	-456	meV/atom
symmetry	Cmmm
electronic total energy	-0.322	Ry/atom

Cell lengths 4.1340, 6.8300, 6.5274 Å; angles 90.00, 71.54, 90.00 degrees
Atoms (fractional coordinates):
1 Pd 0.8318 0.2522 0.3363
2 Pd 0.1682 0.2522 0.6637
3 Pd 0.5000 0.7438 0.0000
4 Pd 0.1682 0.7478 0.6637
5 Pd 0.5000 0.2562 0.0000
6 Pd 0.8318 0.7478 0.3363
7 Zn 0.3369 0.0000 0.3263
8 Zn 0.6658 0.5000 0.6684
9 Zn 0.3342 0.5000 0.3316
10 Zn 0.6631 0.0000 0.6737
11 Zn 0.0000 0.5000 0.0000
12 Cr 0.0000 0.0000 0.0000

---

The following is a GGA-PBE calculation of a relaxed ZnCrPd2 crystal, from Alexandria via LeMat-Bulk.

volume	16.4	A^3/atom
mass density	8.4	Mg/m³
total magnetization	0.991	μB per atom
formation energy from the elements	151	meV/atom
symmetry	I-42d
electronic total energy	-0.380	Ry/atom

Cell lengths 6.9073, 6.9073, 5.6013 Å; angles 51.93, 51.93, 90.00 degrees
Atoms (fractional coordinates):
1 Pd 0.8750 0.8847 0.7500
2 Pd 0.3750 0.3653 0.7500
3 Pd 0.6347 0.1250 0.2500
4 Pd 0.1153 0.6250 0.2500
5 Cr 0.2500 0.7500 0.5000
6 Cr 0.5000 0.5000 0.0000
7 Zn 0.7500 0.2500 0.5000
8 Zn 0.0000 0.0000 0.0000

---

The following is a GGA-PBE calculation of a relaxed ZnCr3Pd crystal, from Alexandria via LeMat-Bulk.

relative energy among the computed polymorphs	0.406	eV per atom
volume	16.0	A^3/atom
mass density	6.8	Mg/m³
total magnetization	0.004	μB per atom
formation energy from the elements	1682	meV/atom
symmetry	Pm-3m
electronic total energy	-0.396	Ry/atom

Cell lengths 4.3050, 4.3050, 4.3050 Å; angles 90.00, 90.00, 90.00 degrees
Atoms (fractional coordinates):
1 Cr 0.0000 0.0000 0.5000
2 Cr 0.5000 0.0000 0.0000
3 Cr 0.0000 0.5000 0.0000
4 Pd 0.5000 0.5000 0.5000
5 Zn 0.0000 0.0000 0.0000